# 1
Density functional theory data (PBE-GGA) for an optimized crystal structure of Er5Tm3Al.

Cell lengths 9.2224, 9.2224, 3.5449 Å; angles 90.00, 90.00, 120.00 degrees
Element x y z (fractional)
Al (0.0000, 0.0000, 0.5000)
Er (0.2748, 0.0000, 0.0000)
Er (0.0000, 0.2748, 0.0000)
Er (0.6667, 0.3333, 0.0000)
Er (0.3333, 0.6667, 0.0000)
Er (0.7252, 0.7252, 0.0000)
Tm (0.6260, 0.0000, 0.5000)
Tm (0.3740, 0.3740, 0.5000)
Tm (0.0000, 0.6260, 0.5000)

size of the total moment	0.0	μB per formula unit
raw total energy	-4.517	eV/atom
space group	No. 189

---

# 2
Density functional theory data (PBE-GGA) for an optimized crystal structure of ErAlW.

Cell lengths 4.7322, 4.7322, 4.7322 Å; angles 60.00, 60.00, 60.00 degrees
Element x y z (fractional)
Al (0.2500, 0.2500, 0.2500)
Er (0.0000, 0.0000, 0.0000)
W (0.7500, 0.7500, 0.7500)

size of the total moment	2.0	μB per formula unit
raw total energy	-5.698	eV/atom
energy above the most stable polymorph in this dataset	0.732	eV per atom
space group	No. 216